VASP calculation (PBE) on LiHfAg2 after structural relaxation.

Geometry as extended XYZ:
```
4
Lattice="3.065 0.000 0.000 0.000 3.065 0.000 0.000 0.000 7.505" Properties=species:S:1:pos:R:3 pbc="T T T"
Li 0.000 0.000 0.000
Hf 0.000 0.000 3.753
Ag 1.532 1.532 1.672
Ag 1.532 1.532 5.833
```

* energy relative to the elements: -0.053 eV/atom
* D(E_F): 3.04 states/eV per cell

=====

VASP calculation (PBE) on CaAlCF2 after structural relaxation.

Geometry as extended XYZ:
```
5
Lattice="4.166 0.000 0.000 0.000 4.166 0.000 0.000 0.000 5.469" Properties=species:S:1:pos:R:3 pbc="T T T"
Ca 0.000 0.000 0.000
Al 2.083 2.083 2.735
C 0.000 0.000 2.735
F 0.000 2.083 0.000
F 2.083 0.000 0.000
```

* ΔE_f (raw): -367 kJ/mol of formula units
* D(E_F): 1.36 states/eV per cell

=====

VASP calculation (PBE) on TiBeAsSe2 after structural relaxation.

Geometry as extended XYZ:
```
5
Lattice="4.877 0.000 0.000 0.000 4.877 0.000 0.000 0.000 4.972" Properties=species:S:1:pos:R:3 pbc="T T T"
Ti 0.000 0.000 0.000
Be 2.439 2.439 2.486
As 0.000 0.000 2.486
Se 0.000 2.439 0.000
Se 2.439 0.000 0.000
```

* ΔE_f (raw): 169 kJ/mol of formula units
* D(E_F): 3.85 states/eV per cell

=====

VASP calculation (PBE) on LiTbPmBi after structural relaxation.

Geometry as extended XYZ:
```
4
Lattice="0.000 3.796 3.796 3.796 0.000 3.796 3.796 3.796 0.000" Properties=species:S:1:pos:R:3 pbc="T T T"
Li 0.000 0.000 0.000
Tb 1.898 1.898 1.898
Pm 5.694 5.694 5.694
Bi 3.796 3.796 3.796
```

* energy relative to the elements: -0.342 eV/atom
* D(E_F): 4.06 states/eV per cell

=====

VASP calculation (PBE) on Pr2MgZn3Ni12 after structural relaxation.

Geometry as extended XYZ:
```
18
Lattice="4.294 2.479 4.056 -4.294 2.479 4.056 0.000 -4.959 4.056" Properties=species:S:1:pos:R:3 pbc="T T T"
Pr 0.000 0.000 2.198
Pr 0.000 0.000 9.971
Mg 0.000 0.000 6.085
Zn -2.147 -1.240 4.056
Zn -2.147 1.240 8.113
Zn 0.000 2.479 4.056
Ni 0.000 -2.637 3.339
Ni -2.284 1.319 3.339
Ni -2.043 -1.180 6.530
Ni 0.000 -2.359 5.639
Ni -2.043 1.180 5.639
Ni -2.284 -1.319 8.830
Ni 2.284 1.319 3.339
Ni 2.043 -1.180 6.530
Ni 0.000 2.359 6.530
Ni 2.043 1.180 5.639
Ni 2.284 -1.319 8.830
Ni 0.000 2.637 8.830
```

* energy relative to the elements: -0.006 eV/atom
* D(E_F): 16.65 states/eV per cell

=====

VASP calculation (PBE) on Th4Te2PtS after structural relaxation.

Geometry as extended XYZ:
```
8
Lattice="7.381 0.000 0.000 0.000 4.174 0.000 -2.451 0.000 7.443" Properties=species:S:1:pos:R:3 pbc="T T T"
Th 1.173 0.000 1.587
Th 0.017 2.087 5.870
Th 4.912 2.087 1.573
Th 3.757 0.000 5.856
Te -1.226 0.000 3.721
Te 2.465 2.087 3.721
Pt 3.690 0.000 0.000
S 0.000 2.087 0.000
```

* ΔE_f (raw): -1010 kJ/mol of formula units
* D(E_F): 7.59 states/eV per cell

=====

VASP calculation (PBE) on NaThN after structural relaxation.

Geometry as extended XYZ:
```
6
Lattice="3.626 0.000 0.000 0.000 3.626 0.000 0.000 0.000 10.241" Properties=species:S:1:pos:R:3 pbc="T T T"
Na 0.906 2.719 0.000
Na 2.719 0.906 0.000
Th 0.906 0.906 3.768
Th 2.719 2.719 6.473
N 0.906 0.906 6.054
N 2.719 2.719 4.187
```

* ΔE_f (raw): -181 kJ/mol of formula units
* D(E_F): 2.43 states/eV per cell

=====

VASP calculation (PBE) on Be2AgSb after structural relaxation.

Geometry as extended XYZ:
```
4
Lattice="4.133 0.000 0.000 0.000 4.151 0.000 -1.712 0.000 4.393" Properties=species:S:1:pos:R:3 pbc="T T T"
Be 0.000 0.000 0.000
Be 0.813 2.075 0.766
Ag 1.949 2.075 3.231
Sb 2.093 0.000 1.418
```

* ΔE_f (raw): 128 kJ/mol of formula units
* D(E_F): 0.45 states/eV per cell

=====

VASP calculation (PBE) on TbNdGdPu after structural relaxation.

Geometry as extended XYZ:
```
4
Lattice="0.000 4.003 4.003 4.003 0.000 4.003 4.003 4.003 0.000" Properties=species:S:1:pos:R:3 pbc="T T T"
Tb 0.000 0.000 0.000
Nd 2.001 2.001 2.001
Gd 6.004 6.004 6.004
Pu 4.003 4.003 4.003
```

* energy relative to the elements: 0.202 eV/atom
* D(E_F): 12.58 states/eV per cell

=====

VASP calculation (PBE) on MnBiC2 after structural relaxation.

Geometry as extended XYZ:
```
8
Lattice="-2.483 2.483 4.818 2.483 -2.483 4.818 2.483 2.483 -4.818" Properties=species:S:1:pos:R:3 pbc="T T T"
Mn 0.000 0.000 0.000
Mn 0.000 2.483 2.409
Bi 2.483 0.000 2.409
Bi 0.000 0.000 4.818
C 3.724 0.642 -1.205
C 0.642 1.241 1.205
C -1.241 1.841 3.614
C 1.841 1.241 6.023
```

* energy relative to the elements: 1.028 eV/atom
* D(E_F): 2.80 states/eV per cell

=====

VASP calculation (PBE) on Pm6PrTm2 after structural relaxation.

Geometry as extended XYZ:
```
9
Lattice="6.560 -3.787 0.000 6.560 3.787 0.000 -0.001 0.000 6.155" Properties=species:S:1:pos:R:3 pbc="T T T"
Pm 5.317 2.142 4.858
Pm 4.086 0.000 1.301
Pm 7.803 2.142 1.297
Pm 5.317 -2.142 4.858
Pm 9.034 0.000 4.854
Pm 7.803 -2.142 1.297
Pr 6.560 0.000 3.078
Tm 2.180 0.000 4.425
Tm 10.939 0.000 1.730
```

* energy relative to the elements: 0.207 eV/atom
* D(E_F): 13.74 states/eV per cell

=====

VASP calculation (PBE) on LiTi2C2 after structural relaxation.

Geometry as extended XYZ:
```
10
Lattice="5.880 0.000 0.000 0.000 5.880 0.000 0.000 0.000 2.913" Properties=species:S:1:pos:R:3 pbc="T T T"
Li 0.000 0.000 0.000
Li 2.940 2.940 0.000
Ti 0.931 2.008 1.457
Ti 2.008 4.948 1.457
Ti 3.871 0.931 1.457
Ti 4.948 3.871 1.457
C 0.923 3.863 0.000
C 2.017 0.923 0.000
C 3.863 4.957 0.000
C 4.957 2.017 0.000
```

* energy relative to the elements: -0.204 eV/atom
* D(E_F): 7.68 states/eV per cell

=====

VASP calculation (PBE) on Na3PmTl2O6 after structural relaxation.

Geometry as extended XYZ:
```
12
Lattice="2.973 -5.161 0.000 2.973 5.161 0.000 -1.955 0.000 5.675" Properties=species:S:1:pos:R:3 pbc="T T T"
Na 0.000 0.000 0.000
Na 2.973 1.813 0.000
Na 2.973 -1.813 0.000
Pm 1.996 0.000 2.838
Tl 1.996 3.447 2.838
Tl 1.996 -3.447 2.838
O 0.988 1.744 1.559
O -0.014 0.000 4.130
O 0.988 -1.744 1.559
O 3.004 1.744 4.116
O 4.005 0.000 1.545
O 3.004 -1.744 4.116
```

* ΔE_f (raw): -1829 kJ/mol of formula units

=====

VASP calculation (PBE) on CaLaNiS2 after structural relaxation.

Geometry as extended XYZ:
```
5
Lattice="4.864 0.000 0.000 0.000 4.864 0.000 0.000 0.000 4.458" Properties=species:S:1:pos:R:3 pbc="T T T"
Ca 0.000 0.000 0.000
La 2.432 2.432 0.000
Ni 0.000 0.000 2.229
S 0.000 2.432 2.229
S 2.432 0.000 2.229
```

* ΔE_f (raw): -289 kJ/mol of formula units
* D(E_F): 3.12 states/eV per cell

=====

VASP calculation (PBE) on NiBr2 after structural relaxation.

Geometry as extended XYZ:
```
12
Lattice="9.213 0.000 0.000 0.000 3.388 0.000 0.000 0.000 12.005" Properties=species:S:1:pos:R:3 pbc="T T T"
Ni 1.633 0.847 1.294
Ni 2.974 2.541 7.297
Ni 6.239 0.847 4.708
Ni 7.580 2.541 10.710
Br 0.566 2.541 2.468
Br 1.910 0.847 6.124
Br 2.696 2.541 0.121
Br 4.040 0.847 8.470
Br 5.173 2.541 3.535
Br 6.516 0.847 11.883
Br 7.303 2.541 5.881
Br 8.647 0.847 9.537
```

* ΔE_f (raw): -73 kJ/mol of formula units
* D(E_F): 11.76 states/eV per cell

=====

VASP calculation (PBE) on UNi2 after structural relaxation.

Geometry as extended XYZ:
```
3
Lattice="-1.482 1.482 4.985 1.482 -1.482 4.985 1.482 1.482 -4.985" Properties=species:S:1:pos:R:3 pbc="T T T"
U 0.000 0.000 0.000
Ni 0.000 0.000 3.195
Ni 0.000 0.000 6.774
```

* energy relative to the elements: -0.050 eV/atom
* D(E_F): 4.98 states/eV per cell

=====

VASP calculation (PBE) on La2BeTl after structural relaxation.

Geometry as extended XYZ:
```
4
Lattice="1.888 1.090 9.592 -1.888 1.090 9.592 0.000 -2.180 9.592" Properties=species:S:1:pos:R:3 pbc="T T T"
La 0.000 0.000 6.791
La 0.000 0.000 21.983
Be 0.000 0.000 14.387
Tl 0.000 0.000 0.000
```

* energy relative to the elements: 0.119 eV/atom
* D(E_F): 4.14 states/eV per cell

=====

VASP calculation (PBE) on V2TcGeS after structural relaxation.

Geometry as extended XYZ:
```
5
Lattice="4.670 0.000 0.000 0.000 4.670 0.000 0.000 0.000 4.617" Properties=species:S:1:pos:R:3 pbc="T T T"
V 0.000 2.335 0.000
V 2.335 0.000 0.000
Tc 0.000 0.000 2.308
Ge 0.000 0.000 0.000
S 2.335 2.335 2.308
```

* ΔE_f (raw): 571 kJ/mol of formula units
* D(E_F): 5.70 states/eV per cell

=====

VASP calculation (PBE) on Tl13Pb2 after structural relaxation.

Geometry as extended XYZ:
```
15
Lattice="6.740 0.000 0.000 0.800 8.313 0.000 1.159 3.950 8.301" Properties=species:S:1:pos:R:3 pbc="T T T"
Tl 0.000 0.000 0.000
Tl 2.194 7.052 6.665
Tl 1.730 2.429 1.673
Tl 3.228 10.121 4.974
Tl 2.784 5.547 0.003
Tl 3.500 4.893 3.304
Tl 4.176 4.260 6.629
Tl 4.523 8.003 1.672
Tl 5.199 7.370 4.997
Tl 5.915 6.716 8.298
Tl 5.471 2.142 3.327
Tl 6.968 9.835 6.628
Tl 6.505 5.211 1.636
Pb 1.480 7.628 3.335
Pb 7.219 4.635 4.966
```

* energy relative to the elements: 0.011 eV/atom
* D(E_F): 6.14 states/eV per cell